DFT (PBE-GGA) results for a relaxed structure of Sb2PbCl.

- ΔE to the lowest computed polymorph (meV/atom) = 89
- density of states at the Fermi level (states/eV/cell) = 3.1
- crystal system = orthorhombic
- SG = Pmmm, No. 47
- formation energy without anion corrections (eV per atom) = -0.15

```
Sb2PbCl
1.0
4.261 0.000 0.000
0.000 4.313 0.000
0.000 0.000 6.361
Sb Pb Cl
2 1 1
Direct
0.000 0.000 0.000
0.500 0.500 0.000
0.000 0.500 0.500
0.500 0.000 0.500
```